## ErCr2PbO8 (PBE with a Hubbard U)

Data for an optimized crystal structure of ErCr2PbO8.

The structure belongs to space group P-3 (No. 147); the cell edges are 5.7161, 5.7161 and 7.1040 Å and the angles 90.00°, 90.00° and 120.00°. The asymmetric unit holds Er at (0.0000, 0.0000, 0.0000), Cr at (0.3333, 0.6667, 0.2825), Pb at (0.0000, 0.0000, 0.5000), O at (0.1677, 0.3377, 0.2075) and O at (0.3333, 0.6667, 0.5131).

As for the final energy: -6.963 eV/atom. As for the volume: 201 Å³/f.u. The total magnetic moment is 1.00 μB per cell.